4
Lattice="4.218 0.000 0.000 0.000 4.218 0.000 -2.109 -2.109 3.935" Properties=species:S:1:pos:R:3 comment="TeW2Se, relaxed, DFT PBEsol" space_group="No. 119" pbc="T T T"
Se 2.109 2.109 0.000
Te 0.000 2.109 1.967
W 0.000 0.000 0.000
W 2.109 0.000 1.967

---

4
Lattice="-2.016 -2.803 -0.662 2.147 -1.711 3.704 -3.322 3.966 1.155" Properties=species:S:1:pos:R:3 comment="TeW2Se, relaxed, DFT PBEsol" space_group="No. 12" pbc="T T T"
Se -1.008 -1.402 -0.331
Te 1.073 -0.855 1.852
W -1.661 1.983 0.578
W -1.595 -0.274 2.099

---

4
Lattice="-3.684 0.957 -3.526 -3.800 -3.445 -0.782 -4.838 1.082 1.531" Properties=species:S:1:pos:R:3 comment="Y2TeSe, relaxed, DFT PBEsol" space_group="No. 216" pbc="T T T"
Se -6.161 -0.703 -1.389
Te -3.080 -0.352 -0.694
Y 0.000 0.000 0.000
Y -9.241 -1.055 -2.083

---

4
Lattice="-3.762 0.000 1.799 -0.812 -3.721 -1.698 2.274 -2.666 4.756" Properties=species:S:1:pos:R:3 comment="Y2TeSe, relaxed, DFT PBEsol" space_group="No. 123" pbc="T T T"
Y 0.000 0.000 0.000
Y -1.150 -3.193 2.429
Te 1.137 -1.333 2.378
Se -2.287 -1.861 0.051

---

4
Lattice="3.873 0.000 0.000 0.000 3.893 0.000 -1.937 -1.947 6.854" Properties=species:S:1:pos:R:3 comment="Y2TeSe, relaxed, DFT PBEsol" space_group="No. 44" pbc="T T T"
Y 1.937 1.947 6.383
Y 0.000 1.947 2.712
Te 1.937 0.000 4.042
Se 1.937 1.947 0.570

---

4
Lattice="-2.062 -0.773 3.447 1.053 -3.945 -0.255 5.058 1.138 3.280" Properties=species:S:1:pos:R:3 comment="Y2TeSe, relaxed, DFT PBEsol" space_group="No. 99" pbc="T T T"
Y 4.740 1.066 3.074
Y 1.155 -1.985 2.673
Te 3.694 -1.414 4.319
Se 2.046 0.460 1.326

---

Ordered size of the total moment results: 0.00, 0.00, 0.36, 0.00, 0.27, 0.00; unit μB/atom.
Ordered offset from the most stable computed form results: 246.8, 300.1, 444.6, 30.4, 35.9, 26.1; unit kJ/mol of formula units.
Ordered energy relative to the elements, uncorrected results: 0.818, 0.956, -0.481, -1.554, -1.540, -1.565; unit eV/atom.